[1]
VASP calculation (PBE) on crystalline Er3SnAs2Rh9 at its relaxed geometry.

Computed properties:
The calculation puts the density of states at the Fermi level at 4.68 states/eV per cell. The calculation puts the formation energy at -0.446 eV/atom. The space group is P-3m1 (164).

Cell lengths 6.260, 6.260, 9.291 Å; angles 90.00, 90.00, 120.00 degrees
Fractional positions:
Er  0.667  0.333  0.250
Rh  0.719  0.859  0.264
Rh  0.281  0.141  0.736
Rh  0.141  0.859  0.264
Rh  0.000  0.500  0.000
Er  0.000  0.000  0.000
Rh  0.141  0.281  0.264
As  0.333  0.667  0.170
Rh  0.500  0.500  0.000
Er  0.333  0.667  0.750
Rh  0.500  0.000  0.000
Rh  0.859  0.719  0.736
Rh  0.859  0.141  0.736
Sn  0.000  0.000  0.500
As  0.667  0.333  0.830

[2]
VASP calculation (PBE) on crystalline TlMoIr at its relaxed geometry.

Computed properties:
The calculation puts the density of states at the Fermi level at 1.90 states/eV per cell. The calculation puts the formation energy at 0.567 eV/atom. The space group is P-6m2 (187).

Cell lengths 4.599, 4.599, 2.853 Å; angles 90.00, 90.00, 120.00 degrees
Fractional positions:
Tl  0.333  0.667  0.833
Ir  0.000  0.000  0.834
Mo  0.667  0.333  0.333

[3]
VASP calculation (PBE) on crystalline ZrHgBr at its relaxed geometry.

Computed properties:
The calculation puts the density of states at the Fermi level at 1.76 states/eV per cell. The value obtained for the formation energy from raw total energies is -1.19 eV/f.u. As for the offset from the most stable computed form: 0.59 eV/f.u. The space group is I4mm (107).

Cell lengths 7.734, 7.734, 7.734 Å; angles 155.37, 155.37, 35.11 degrees
Fractional positions:
Zr  0.661  0.661  0.000
Br  0.045  0.045  0.000
Hg  0.294  0.294  0.000

[4]
VASP calculation (PBE) on crystalline Nd2ErC2Br2 at its relaxed geometry.

Computed properties:
The calculation puts the density of states at the Fermi level at 0.94 states/eV per cell. The value obtained for the formation energy from raw total energies is -4.67 eV/f.u. The space group is I4/mmm (139).

Cell lengths 4.521, 4.521, 8.445 Å; angles 105.53, 105.53, 90.00 degrees
Fractional positions:
Br  0.810  0.810  0.621
Er  0.000  0.000  0.000
C  0.000  0.500  0.000
Br  0.190  0.190  0.379
C  0.500  0.000  0.000
Nd  0.400  0.400  0.800
Nd  0.600  0.600  0.200

[5]
VASP calculation (PBE) on crystalline Er8CuP3Se4 at its relaxed geometry.

Computed properties:
The calculation puts the density of states at the Fermi level at 8.55 states/eV per cell. The value obtained for the formation energy from raw total energies is -24.54 eV/f.u. The space group is R-3m (166).

Cell lengths 7.976, 8.068, 7.975 Å; angles 119.62, 120.00, 90.00 degrees
Fractional positions:
P  0.000  0.500  0.500
Er  0.742  0.727  0.485
Er  0.755  0.267  0.012
Er  0.245  0.733  0.988
Se  0.500  0.000  0.000
Er  0.245  0.733  0.490
Se  0.000  0.000  0.500
Er  0.755  0.267  0.510
Cu  0.000  0.500  0.000
Er  0.257  0.267  0.012
Er  0.743  0.733  0.988
Se  0.500  0.000  0.500
Er  0.258  0.273  0.515
Se  0.000  0.000  0.000
P  0.500  0.500  0.500
P  0.500  0.500  0.000

[6]
VASP calculation (PBE) on crystalline TeRh2Br at its relaxed geometry.

Computed properties:
The calculation puts the density of states at the Fermi level at 2.40 states/eV per cell. The value obtained for the formation energy from raw total energies is 0.06 eV/f.u. As for the offset from the most stable computed form: 0.48 eV/f.u. The space group is P4mm (99).

Cell lengths 3.554, 3.554, 6.682 Å; angles 90.00, 90.00, 90.00 degrees
Fractional positions:
Te  0.000  0.000  0.394
Br  0.500  0.500  0.865
Rh  0.500  0.500  0.237
Rh  0.000  0.000  0.004

[7]
VASP calculation (PBE) on crystalline MgNi3Sn at its relaxed geometry.

Computed properties:
The calculation puts the density of states at the Fermi level at 6.24 states/eV per cell. The calculation puts the formation energy at -0.008 eV/atom. As for the offset from the most stable computed form: 0.00 eV/f.u. The space group is Imma (74).

Cell lengths 5.069, 6.467, 6.718 Å; angles 118.77, 112.17, 90.00 degrees
Fractional positions:
Sn  0.500  0.000  0.000
Ni  0.250  0.741  0.500
Mg  0.250  0.335  0.500
Ni  0.613  0.113  0.726
Mg  0.750  0.665  0.500
Ni  0.113  0.113  0.726
Sn  0.000  0.500  0.000
Ni  0.887  0.887  0.274
Ni  0.387  0.887  0.274
Ni  0.750  0.259  0.500

[8]
VASP calculation (PBE) on crystalline Zr2ZnPd9 at its relaxed geometry.

Computed properties:
The calculation puts the density of states at the Fermi level at 7.12 states/eV per cell. The calculation puts the formation energy at -0.669 eV/atom. The space group is P4/mmm (123).

Cell lengths 4.023, 4.023, 11.845 Å; angles 90.00, 90.00, 90.00 degrees
Fractional positions:
Pd  0.000  0.500  0.163
Pd  0.500  0.500  0.000
Pd  0.500  0.000  0.837
Zn  0.000  0.000  0.000
Pd  0.500  0.500  0.332
Pd  0.000  0.500  0.837
Pd  0.500  0.000  0.500
Pd  0.500  0.500  0.668
Pd  0.000  0.500  0.500
Zr  0.000  0.000  0.675
Zr  0.000  0.000  0.325
Pd  0.500  0.000  0.163

[9]
VASP calculation (PBE) on crystalline CaErH2 at its relaxed geometry.

Computed properties:
The calculation puts the density of states at the Fermi level at 0.96 states/eV per cell. As for the offset from the most stable computed form: 0.02 eV/f.u. The space group is R3m (160).

Cell lengths 3.651, 3.651, 6.451 Å; angles 73.56, 73.56, 60.00 degrees
Site moments in Bohr magnetons follow the coordinates.
Fractional positions:
Er  0.651  0.651  0.046  0.38
H  0.333  0.333  0.002  0.00
Ca  0.467  0.467  0.599  0.12
H  0.049  0.049  0.853  0.00

[10]
VASP calculation (PBE) on crystalline HfTa2NbMo at its relaxed geometry.

Computed properties:
The calculation puts the density of states at the Fermi level at 8.41 states/eV per cell. The calculation puts the formation energy at 1.426 eV/atom. The space group is P4/mmm (123).

Cell lengths 4.866, 4.866, 4.715 Å; angles 90.00, 90.00, 90.00 degrees
Fractional positions:
Ta  0.000  0.500  0.000
Ta  0.500  0.000  0.000
Hf  0.500  0.500  0.500
Nb  0.000  0.000  0.000
Mo  0.000  0.000  0.500

[11]
VASP calculation (PBE) on crystalline Th5Tc2Au2 at its relaxed geometry.

Computed properties:
The calculation puts the density of states at the Fermi level at 17.59 states/eV per cell. The calculation puts the formation energy at -0.391 eV/atom. The space group is Cmce (64).

Cell lengths 7.804, 7.825, 8.662 Å; angles 116.85, 90.00, 90.00 degrees
Fractional positions:
Tc  0.139  0.639  0.000
Th  0.500  0.500  0.000
Tc  0.361  0.139  0.000
Th  0.165  0.206  0.750
Au  0.500  0.713  0.425
Au  0.500  0.287  0.575
Th  0.000  0.000  0.000
Th  0.665  0.294  0.250
Au  0.000  0.787  0.575
Au  0.000  0.213  0.425
Tc  0.861  0.361  0.000
Th  0.335  0.706  0.750
Tc  0.639  0.861  0.000
Th  0.835  0.544  0.750
Th  0.665  0.044  0.750
Th  0.835  0.794  0.250
Th  0.165  0.456  0.250
Th  0.335  0.956  0.250

[12]
VASP calculation (PBE) on crystalline CaPm2CdHg4 at its relaxed geometry.

Computed properties:
The calculation puts the density of states at the Fermi level at 4.65 states/eV per cell. The calculation puts the formation energy at -0.469 eV/atom. The space group is R-3m (166).

Cell lengths 5.253, 5.253, 9.182 Å; angles 73.38, 73.38, 60.00 degrees
Fractional positions:
Cd  0.500  0.500  0.500
Pm  0.244  0.244  0.267
Pm  0.756  0.756  0.733
Hg  0.122  0.122  0.633
Hg  0.878  0.878  0.367
Hg  0.629  0.629  0.114
Hg  0.371  0.371  0.886
Ca  0.000  0.000  0.000

[13]
VASP calculation (PBE) on crystalline PaAsBr3 at its relaxed geometry.

Computed properties:
The calculation puts the density of states at the Fermi level at 7.37 states/eV per cell. The value obtained for the formation energy from raw total energies is -5.23 eV/f.u. The space group is P2/c (13).

Cell lengths 7.763, 7.756, 14.157 Å; angles 90.00, 93.32, 90.00 degrees
Site moments in Bohr magnetons follow the coordinates.
Fractional positions:
As  0.139  0.893  0.787  0.10
Pa  0.075  0.620  0.642  0.71
Br  0.777  0.421  0.705  -0.02
Br  0.127  0.301  0.530  0.00
Br  0.362  0.245  0.074  0.00
Br  0.638  0.245  0.426  0.00
Pa  0.925  0.620  0.858  0.71
Br  0.223  0.421  0.795  -0.02
As  0.861  0.893  0.713  0.10
Br  0.127  0.699  0.030  0.00
Br  0.777  0.579  0.205  -0.02
As  0.861  0.107  0.213  0.10
Pa  0.075  0.380  0.142  0.71
As  0.139  0.107  0.287  0.10
Br  0.873  0.301  0.970  0.00
Br  0.873  0.699  0.470  0.00
Br  0.223  0.579  0.295  -0.02
Pa  0.925  0.380  0.358  0.71
Br  0.638  0.755  0.926  0.00
Br  0.362  0.755  0.574  0.00

[14]
VASP calculation (PBE) on crystalline GdTmSc2 at its relaxed geometry.

Computed properties:
The calculation puts the density of states at the Fermi level at 6.46 states/eV per cell. The calculation puts the formation energy at 0.062 eV/atom. As for the offset from the most stable computed form: 0.03 eV/f.u. The space group is R-3m (166).

Cell lengths 3.411, 3.411, 11.110 Å; angles 81.17, 81.17, 60.00 degrees
Site moments in Bohr magnetons follow the coordinates.
Fractional positions:
Tm  0.500  0.500  0.500  -0.06
Sc  0.249  0.249  0.252  -0.07
Sc  0.751  0.751  0.748  -0.07
Gd  0.000  0.000  0.000  7.13

[15]
VASP calculation (PBE) on crystalline SnO at its relaxed geometry.

Computed properties:
The value obtained for the formation energy from raw total energies is -1.68 eV/f.u. The space group is Fm-3m (225).

Cell lengths 5.116, 5.116, 5.116 Å; angles 90.00, 90.00, 90.00 degrees
Fractional positions:
O  0.000  0.000  0.000
Sn  0.500  0.000  0.000
O  0.500  0.500  0.000
Sn  0.000  0.500  0.000
Sn  0.000  0.000  0.500
Sn  0.500  0.500  0.500
O  0.500  0.000  0.500
O  0.000  0.500  0.500

[16]
VASP calculation (PBE) on crystalline Ho3PuCl2O6 at its relaxed geometry.

Computed properties:
The calculation puts the density of states at the Fermi level at 9.53 states/eV per cell. The value obtained for the formation energy from raw total energies is -34.20 eV/f.u. The space group is C2/m (12).

Cell lengths 5.419, 6.720, 6.872 Å; angles 119.27, 79.90, 90.00 degrees
Site moments in Bohr magnetons follow the coordinates.
Fractional positions:
O  0.709  0.816  0.133  -0.07
Cl  0.162  0.697  0.394  0.00
Cl  0.838  0.303  0.606  0.00
O  0.335  0.174  0.348  -0.07
O  0.709  0.317  0.133  -0.07
Ho  0.000  0.500  0.000  -0.01
O  0.665  0.826  0.652  -0.07
Ho  0.500  0.500  0.500  0.00
O  0.291  0.683  0.867  -0.07
O  0.291  0.184  0.867  -0.07
Ho  0.500  0.000  0.500  0.00
Pu  0.500  0.000  0.000  3.43

[17]
VASP calculation (PBE) on crystalline ScBeRe2Ge at its relaxed geometry.

Computed properties:
The calculation puts the density of states at the Fermi level at 5.43 states/eV per cell. The calculation puts the formation energy at 0.887 eV/atom. The space group is P4/mmm (123).

Cell lengths 4.667, 3.987, 4.667 Å; angles 90.00, 90.00, 90.00 degrees
Fractional positions:
Ge  0.000  0.000  0.000
Sc  0.500  0.500  0.500
Re  0.500  0.000  0.000
Be  0.000  0.500  0.000
Re  0.000  0.000  0.500

[18]
VASP calculation (PBE) on crystalline Na2GeAsSe4 at its relaxed geometry.

Computed properties:
The calculation puts the density of states at the Fermi level at 5.20 states/eV per cell. The value obtained for the formation energy from raw total energies is -4.00 eV/f.u. The space group is Imma (74).

Cell lengths 8.070, 8.070, 8.126 Å; angles 120.23, 120.23, 90.20 degrees
Fractional positions:
Na  0.500  0.000  0.000
Se  0.222  0.742  0.982
Se  0.760  0.740  0.981
Ge  0.500  0.500  0.500
Se  0.778  0.258  0.018
Se  0.760  0.740  0.519
As  0.000  0.500  0.500
As  0.000  0.500  0.000
Se  0.240  0.260  0.481
Se  0.240  0.260  0.019
Na  0.500  0.500  0.000
Ge  0.000  0.000  0.000
Na  0.500  0.000  0.500
Se  0.242  0.722  0.482
Se  0.758  0.278  0.518
Na  0.000  0.000  0.500

[19]
VASP calculation (PBE) on crystalline Pm12Tm5Al2 at its relaxed geometry.

Computed properties:
The calculation puts the density of states at the Fermi level at 21.53 states/eV per cell. The calculation puts the formation energy at 0.063 eV/atom. The space group is C2/m (12).

Cell lengths 8.038, 9.754, 8.932 Å; angles 73.34, 90.00, 114.33 degrees
Fractional positions:
Pm  0.919  0.307  0.530
Pm  0.522  0.043  0.308
Al  0.338  0.000  0.000
Pm  0.613  0.693  0.470
Tm  0.248  0.496  0.779
Pm  0.478  0.957  0.692
Tm  0.685  0.369  0.831
Tm  0.000  0.000  0.500
Pm  0.048  0.096  0.830
Pm  0.060  0.720  0.870
Pm  0.940  0.280  0.130
Pm  0.387  0.307  0.530
Tm  0.752  0.504  0.221
Pm  0.081  0.693  0.470
Pm  0.952  0.904  0.170
Tm  0.315  0.631  0.169
Pm  0.340  0.280  0.130
Pm  0.660  0.720  0.870
Al  0.662  0.000  0.000

[20]
VASP calculation (PBE) on crystalline Y2RuRh at its relaxed geometry.

Computed properties:
The calculation puts the density of states at the Fermi level at 4.93 states/eV per cell. The calculation puts the formation energy at -0.305 eV/atom. The space group is I-4m2 (119).

Cell lengths 5.834, 5.834, 5.834 Å; angles 139.83, 139.83, 58.11 degrees
Fractional positions:
Ru  0.750  0.250  0.500
Y  0.000  0.000  0.000
Rh  0.500  0.500  0.000
Y  0.250  0.750  0.500